(1)
Crystalline La3Sm2Tl2 at its relaxed geometry, computed with GGA-PBE.

Unit cell a=3.765 b=5.425 c=22.720 alpha=90.00 beta=90.00 gamma=90.00
Fractional positions:
La (0.000, 0.000, 0.000)
La (0.000, 0.500, 0.201)
La (0.000, 0.500, 0.799)
La (0.500, 0.000, 0.299)
La (0.500, 0.000, 0.701)
La (0.500, 0.500, 0.500)
Sm (0.000, 0.000, 0.427)
Sm (0.000, 0.000, 0.573)
Sm (0.500, 0.500, 0.073)
Sm (0.500, 0.500, 0.927)
Tl (0.000, 0.500, 0.353)
Tl (0.000, 0.500, 0.647)
Tl (0.500, 0.000, 0.147)
Tl (0.500, 0.000, 0.853)

VASP energy	-4.316	eV/atom
size of the total moment	0.0	μB/cell
formation energy from the elements	-0.18	eV per atom

(2)
Crystalline Ho5Er3Tm4 at its relaxed geometry, computed with GGA-PBE.

Unit cell a=6.058 b=7.007 c=8.564 alpha=89.95 beta=89.95 gamma=89.94
Fractional positions:
Ho (0.000, 0.000, 0.000)
Ho (0.333, 0.500, 0.666)
Ho (0.500, 0.250, 0.000)
Ho (0.500, 0.750, 0.000)
Ho (0.667, 0.500, 0.334)
Er (0.000, 0.500, 0.000)
Er (0.167, 0.751, 0.334)
Er (0.833, 0.249, 0.666)
Tm (0.167, 0.250, 0.334)
Tm (0.334, 0.000, 0.666)
Tm (0.666, 0.000, 0.334)
Tm (0.833, 0.750, 0.666)

VASP energy	-4.515	eV/atom
ΔE to the lowest computed polymorph	0	meV per atom
size of the total moment	0.0	μB/cell
formation energy from the elements	0.02	eV per atom

(3)
Crystalline TaZnSe2Br at its relaxed geometry, computed with GGA-PBE.

Unit cell a=4.889 b=4.889 c=4.863 alpha=90.00 beta=90.00 gamma=90.00
Fractional positions:
Ta (0.000, 0.000, 0.000)
Zn (0.500, 0.500, 0.500)
Se (0.000, 0.500, 0.500)
Se (0.500, 0.000, 0.500)
Br (0.500, 0.500, 0.000)

VASP energy	-3.598	eV/atom
ΔE to the lowest computed polymorph	878	meV per atom
size of the total moment	2.0	μB/cell
energy relative to the elements, uncorrected	0.76	eV per atom

(4)
Crystalline ReMoCl4 at its relaxed geometry, computed with GGA-PBE.

Unit cell a=5.871 b=5.871 c=5.871 alpha=60.00 beta=60.00 gamma=60.00
Fractional positions:
Re (0.000, 0.000, 0.000)
Mo (0.250, 0.250, 0.250)
Cl (0.124, 0.625, 0.625)
Cl (0.625, 0.124, 0.625)
Cl (0.625, 0.625, 0.124)
Cl (0.625, 0.625, 0.625)

VASP energy	-3.309	eV/atom
size of the total moment	8.8	μB/cell
energy relative to the elements, uncorrected	1.80	eV per atom

(5)
Crystalline La4Pr5Th4 at its relaxed geometry, computed with GGA-PBE.

Unit cell a=9.747 b=9.747 c=9.747 alpha=93.98 beta=93.98 gamma=149.46
Fractional positions:
La (0.153, 0.237, 0.389)
La (0.237, 0.847, 0.084)
La (0.763, 0.153, 0.916)
La (0.847, 0.763, 0.611)
Pr (0.000, 0.000, 0.000)
Pr (0.298, 0.464, 0.762)
Pr (0.464, 0.702, 0.165)
Pr (0.536, 0.298, 0.835)
Pr (0.702, 0.536, 0.238)
Th (0.073, 0.610, 0.682)
Th (0.390, 0.073, 0.463)
Th (0.610, 0.927, 0.537)
Th (0.927, 0.390, 0.318)

VASP energy	-5.604	eV/atom
size of the total moment	0.0	μB/cell
formation energy from the elements	0.03	eV per atom

(6)
Crystalline SrCoBr at its relaxed geometry, computed with GGA-PBE.

Unit cell a=11.247 b=4.011 c=8.902 alpha=90.00 beta=121.34 gamma=90.00
Fractional positions:
Sr (0.000, 0.000, 0.000)
Sr (0.114, 0.000, 0.628)
Sr (0.500, 0.500, 0.000)
Sr (0.614, 0.500, 0.628)
Co (0.317, 0.500, 0.581)
Co (0.412, 0.000, 0.696)
Co (0.817, 0.000, 0.581)
Co (0.912, 0.500, 0.696)
Br (0.066, 0.500, 0.312)
Br (0.210, 0.500, 0.976)
Br (0.566, 0.000, 0.312)
Br (0.710, 0.000, 0.976)

VASP energy	-4.091	eV/atom
size of the total moment	4.7	μB/cell
energy relative to the elements, uncorrected	-0.60	eV per atom

(7)
Crystalline CsCd3W at its relaxed geometry, computed with GGA-PBE.

Unit cell a=5.591 b=5.591 c=5.591 alpha=90.00 beta=90.00 gamma=90.00
Fractional positions:
Cs (0.000, 0.000, 0.000)
Cd (0.000, 0.500, 0.500)
Cd (0.500, 0.000, 0.500)
Cd (0.500, 0.500, 0.000)
W (0.500, 0.500, 0.500)

VASP energy	-2.529	eV/atom
ΔE to the lowest computed polymorph	0	meV per atom
size of the total moment	3.3	μB/cell
formation energy from the elements	0.78	eV per atom

(8)
Crystalline Pr3SmDy3 at its relaxed geometry, computed with GGA-PBE.

Unit cell a=8.971 b=8.971 c=8.971 alpha=58.62 beta=58.62 gamma=58.62
Fractional positions:
Pr (0.065, 0.572, 0.218)
Pr (0.218, 0.065, 0.572)
Pr (0.428, 0.782, 0.935)
Pr (0.572, 0.218, 0.065)
Pr (0.782, 0.935, 0.428)
Pr (0.935, 0.428, 0.782)
Sm (0.156, 0.156, 0.156)
Sm (0.844, 0.844, 0.844)
Dy (0.215, 0.674, 0.437)
Dy (0.326, 0.563, 0.785)
Dy (0.437, 0.215, 0.674)
Dy (0.563, 0.785, 0.326)
Dy (0.674, 0.437, 0.215)
Dy (0.785, 0.326, 0.563)

VASP energy	-4.500	eV/atom
ΔE to the lowest computed polymorph	167	meV per atom
size of the total moment	0.0	μB/cell
formation energy from the elements	0.19	eV per atom

(9)
Crystalline AlCu2Ni2 at its relaxed geometry, computed with GGA-PBE.

Unit cell a=5.996 b=7.982 c=2.623 alpha=90.00 beta=90.00 gamma=90.00
Fractional positions:
Al (0.000, 0.000, 0.000)
Al (0.500, 0.500, 0.000)
Cu (0.146, 0.305, 0.000)
Cu (0.354, 0.805, 0.000)
Cu (0.646, 0.195, 0.000)
Cu (0.854, 0.695, 0.000)
Ni (0.179, 0.573, 0.500)
Ni (0.321, 0.073, 0.500)
Ni (0.679, 0.927, 0.500)
Ni (0.821, 0.427, 0.500)

VASP energy	-4.801	eV/atom
ΔE to the lowest computed polymorph	141	meV per atom
size of the total moment	0.0	μB/cell
formation energy from the elements	-0.10	eV per atom

(10)
Crystalline CePuSN at its relaxed geometry, computed with GGA-PBE.

Unit cell a=3.703 b=3.703 c=18.912 alpha=90.00 beta=90.00 gamma=120.00
Fractional positions:
Ce (0.000, 0.000, 0.000)
Ce (0.333, 0.667, 0.667)
Ce (0.667, 0.333, 0.333)
Pu (0.000, 0.000, 0.475)
Pu (0.333, 0.667, 0.141)
Pu (0.667, 0.333, 0.808)
S (0.000, 0.000, 0.234)
S (0.333, 0.667, 0.901)
S (0.667, 0.333, 0.567)
N (0.000, 0.000, 0.738)
N (0.333, 0.667, 0.405)
N (0.667, 0.333, 0.072)

VASP energy	-9.789	eV/atom
size of the total moment	17.1	μB/cell
energy relative to the elements, uncorrected	-1.61	eV per atom

(11)
Crystalline Tm8P4CS3 at its relaxed geometry, computed with GGA-PBE.

Unit cell a=7.716 b=7.716 c=7.716 alpha=60.19 beta=60.19 gamma=60.19
Fractional positions:
Tm (0.233, 0.763, 0.763)
Tm (0.237, 0.237, 0.767)
Tm (0.237, 0.767, 0.237)
Tm (0.247, 0.247, 0.247)
Tm (0.753, 0.753, 0.753)
Tm (0.763, 0.233, 0.763)
Tm (0.763, 0.763, 0.233)
Tm (0.767, 0.237, 0.237)
P (0.000, 0.000, 0.500)
P (0.000, 0.500, 0.000)
P (0.500, 0.000, 0.000)
P (0.500, 0.500, 0.500)
C (0.000, 0.000, 0.000)
S (0.000, 0.500, 0.500)
S (0.500, 0.000, 0.500)
S (0.500, 0.500, 0.000)

VASP energy	-6.572	eV/atom
size of the total moment	0.0	μB/cell
energy relative to the elements, uncorrected	-1.63	eV per atom

(12)
Crystalline Cd2TePbS at its relaxed geometry, computed with GGA-PBE.

Unit cell a=5.496 b=5.496 c=6.244 alpha=90.00 beta=90.00 gamma=90.00
Fractional positions:
Cd (0.000, 0.500, 0.000)
Cd (0.500, 0.000, 0.000)
Te (0.000, 0.000, 0.000)
Pb (0.000, 0.000, 0.500)
S (0.500, 0.500, 0.500)

VASP energy	-2.090	eV/atom
size of the total moment	0.0	μB/cell
energy relative to the elements, uncorrected	0.47	eV per atom

(13)
Crystalline Mn2SeCl at its relaxed geometry, computed with GGA-PBE.

Unit cell a=6.737 b=6.737 c=6.737 alpha=90.00 beta=90.00 gamma=90.00
Fractional positions:
Mn (0.000, 0.000, 0.000)
Mn (0.000, 0.500, 0.500)
Mn (0.250, 0.250, 0.250)
Mn (0.250, 0.750, 0.750)
Mn (0.500, 0.000, 0.500)
Mn (0.500, 0.500, 0.000)
Mn (0.750, 0.250, 0.750)
Mn (0.750, 0.750, 0.250)
Se (0.250, 0.250, 0.750)
Se (0.250, 0.750, 0.250)
Se (0.750, 0.250, 0.250)
Se (0.750, 0.750, 0.750)
Cl (0.000, 0.000, 0.500)
Cl (0.000, 0.500, 0.000)
Cl (0.500, 0.000, 0.000)
Cl (0.500, 0.500, 0.500)

VASP energy	-5.415	eV/atom
ΔE to the lowest computed polymorph	832	meV per atom
size of the total moment	36.5	μB/cell
energy relative to the elements, uncorrected	0.50	eV per atom

(14)
Crystalline TeAs2Rh at its relaxed geometry, computed with GGA-PBE.

Unit cell a=4.799 b=3.808 c=4.805 alpha=90.00 beta=111.60 gamma=90.00
Fractional positions:
Te (0.000, 0.000, 0.000)
As (0.299, 0.500, 0.698)
As (0.558, 0.000, 0.442)
Rh (0.772, 0.500, 0.229)

VASP energy	-4.985	eV/atom
size of the total moment	0.0	μB/cell
energy relative to the elements, uncorrected	-0.04	eV per atom

(15)
Crystalline RbCoBi2 at its relaxed geometry, computed with GGA-PBE.

Unit cell a=7.604 b=7.604 c=7.604 alpha=90.00 beta=90.00 gamma=90.00
Fractional positions:
Rb (0.000, 0.000, 0.000)
Rb (0.000, 0.500, 0.500)
Rb (0.500, 0.000, 0.500)
Rb (0.500, 0.500, 0.000)
Co (0.000, 0.000, 0.500)
Co (0.000, 0.500, 0.000)
Co (0.500, 0.000, 0.000)
Co (0.500, 0.500, 0.500)
Bi (0.250, 0.250, 0.250)
Bi (0.250, 0.250, 0.750)
Bi (0.250, 0.750, 0.250)
Bi (0.250, 0.750, 0.750)
Bi (0.750, 0.250, 0.250)
Bi (0.750, 0.250, 0.750)
Bi (0.750, 0.750, 0.250)
Bi (0.750, 0.750, 0.750)

VASP energy	-3.370	eV/atom
ΔE to the lowest computed polymorph	362	meV per atom
size of the total moment	5.1	μB/cell
formation energy from the elements	0.59	eV per atom

(16)
Crystalline SmGaTc at its relaxed geometry, computed with GGA-PBE.

Unit cell a=4.382 b=4.382 c=3.818 alpha=90.00 beta=90.00 gamma=120.00
Fractional positions:
Sm (0.000, 0.000, 0.000)
Ga (0.667, 0.333, 0.500)
Tc (0.333, 0.667, 0.500)

VASP energy	-6.199	eV/atom
ΔE to the lowest computed polymorph	228	meV per atom
size of the total moment	0.0	μB/cell
formation energy from the elements	-0.16	eV per atom

(17)
Crystalline Cd12HgAu7 at its relaxed geometry, computed with GGA-PBE.

Unit cell a=8.499 b=8.499 c=8.499 alpha=110.98 beta=110.98 gamma=110.98
Fractional positions:
Cd (0.004, 0.729, 0.275)
Cd (0.153, 0.486, 0.485)
Cd (0.271, 0.725, 0.996)
Cd (0.275, 0.004, 0.729)
Cd (0.485, 0.153, 0.486)
Cd (0.486, 0.485, 0.153)
Cd (0.514, 0.515, 0.847)
Cd (0.515, 0.847, 0.514)
Cd (0.725, 0.996, 0.271)
Cd (0.729, 0.275, 0.004)
Cd (0.847, 0.514, 0.515)
Cd (0.996, 0.271, 0.725)
Hg (0.000, 0.000, 0.000)
Au (0.140, 0.141, 0.459)
Au (0.141, 0.459, 0.140)
Au (0.459, 0.140, 0.141)
Au (0.500, 0.500, 0.500)
Au (0.541, 0.860, 0.859)
Au (0.859, 0.541, 0.860)
Au (0.860, 0.859, 0.541)

VASP energy	-1.769	eV/atom
size of the total moment	0.0	μB/cell
formation energy from the elements	-0.06	eV per atom

(18)
Crystalline Ce7PmOs2 at its relaxed geometry, computed with GGA-PBE.

Unit cell a=8.164 b=8.164 c=5.366 alpha=90.00 beta=90.00 gamma=118.07
Fractional positions:
Ce (0.000, 0.000, 0.000)
Ce (0.207, 0.458, 0.000)
Ce (0.207, 0.793, 0.500)
Ce (0.458, 0.207, 0.000)
Ce (0.542, 0.793, 0.000)
Ce (0.793, 0.207, 0.500)
Ce (0.793, 0.542, 0.000)
Pm (0.500, 0.500, 0.500)
Os (0.189, 0.811, 0.000)
Os (0.811, 0.189, 0.000)

VASP energy	-6.736	eV/atom
size of the total moment	2.5	μB/cell
formation energy from the elements	0.14	eV per atom

(19)
Crystalline Be13Tc2 at its relaxed geometry, computed with GGA-PBE.

Unit cell a=6.350 b=6.350 c=6.350 alpha=57.20 beta=57.20 gamma=57.20
Fractional positions:
Be (0.000, 0.000, 0.000)
Be (0.011, 0.011, 0.656)
Be (0.011, 0.656, 0.011)
Be (0.228, 0.228, 0.613)
Be (0.228, 0.613, 0.228)
Be (0.344, 0.989, 0.989)
Be (0.387, 0.772, 0.772)
Be (0.613, 0.228, 0.228)
Be (0.656, 0.011, 0.011)
Be (0.772, 0.387, 0.772)
Be (0.772, 0.772, 0.387)
Be (0.989, 0.344, 0.989)
Be (0.989, 0.989, 0.344)
Tc (0.237, 0.237, 0.237)
Tc (0.763, 0.763, 0.763)

VASP energy	-4.305	eV/atom
size of the total moment	0.0	μB/cell
formation energy from the elements	0.31	eV per atom

(20)
Crystalline KCa2OsPb at its relaxed geometry, computed with GGA-PBE.

Unit cell a=5.652 b=5.652 c=4.655 alpha=90.00 beta=90.00 gamma=90.00
Fractional positions:
K (0.000, 0.000, 0.000)
Ca (0.000, 0.500, 0.000)
Ca (0.500, 0.000, 0.000)
Os (0.000, 0.000, 0.500)
Pb (0.500, 0.500, 0.500)

VASP energy	-2.563	eV/atom
size of the total moment	0.0	μB/cell
formation energy from the elements	1.44	eV per atom

(21)
Crystalline HfZr2Mo at its relaxed geometry, computed with GGA-PBE.

Unit cell a=4.887 b=4.887 c=3.424 alpha=90.00 beta=90.00 gamma=90.00
Fractional positions:
Hf (0.000, 0.000, 0.000)
Zr (0.000, 0.500, 0.500)
Zr (0.500, 0.000, 0.500)
Mo (0.500, 0.500, 0.000)

VASP energy	-9.343	eV/atom
ΔE to the lowest computed polymorph	95	meV per atom
size of the total moment	0.0	μB/cell
formation energy from the elements	0.13	eV per atom

(22)
Crystalline CsI3O6 at its relaxed geometry, computed with GGA-PBE.

Unit cell a=8.882 b=8.882 c=8.882 alpha=117.70 beta=117.70 gamma=117.70
Fractional positions:
Cs (0.000, 0.000, 0.000)
I (0.171, 0.638, 0.638)
I (0.638, 0.171, 0.638)
I (0.638, 0.638, 0.171)
O (0.172, 0.172, 0.672)
O (0.172, 0.672, 0.172)
O (0.324, 0.582, 0.582)
O (0.582, 0.324, 0.582)
O (0.582, 0.582, 0.324)
O (0.672, 0.172, 0.172)

VASP energy	-3.882	eV/atom
size of the total moment	0.0	μB/cell
energy relative to the elements, uncorrected	-0.36	eV per atom

(23)
Crystalline Nd2ZnCu3Si4 at its relaxed geometry, computed with GGA-PBE.

Unit cell a=4.100 b=4.100 c=10.099 alpha=90.00 beta=90.00 gamma=90.00
Fractional positions:
Nd (0.000, 0.500, 0.249)
Nd (0.500, 0.000, 0.751)
Zn (0.000, 0.000, 0.500)
Cu (0.000, 0.500, 0.873)
Cu (0.500, 0.000, 0.127)
Cu (0.500, 0.500, 0.500)
Si (0.000, 0.000, 0.000)
Si (0.000, 0.500, 0.638)
Si (0.500, 0.000, 0.362)
Si (0.500, 0.500, 0.000)

VASP energy	-4.996	eV/atom
size of the total moment	0.0	μB/cell
energy relative to the elements, uncorrected	-0.52	eV per atom

(24)
Crystalline Ac3TlCoCl at its relaxed geometry, computed with GGA-PBE.

Unit cell a=8.258 b=4.340 c=11.437 alpha=90.00 beta=101.65 gamma=90.00
Fractional positions:
Ac (0.078, 0.250, 0.382)
Ac (0.195, 0.250, 0.923)
Ac (0.401, 0.750, 0.643)
Ac (0.599, 0.250, 0.357)
Ac (0.805, 0.750, 0.077)
Ac (0.922, 0.750, 0.618)
Tl (0.229, 0.750, 0.192)
Tl (0.771, 0.250, 0.808)
Co (0.163, 0.250, 0.646)
Co (0.837, 0.750, 0.354)
Cl (0.445, 0.750, 0.901)
Cl (0.555, 0.250, 0.099)

VASP energy	-4.473	eV/atom
size of the total moment	0.0	μB/cell
energy relative to the elements, uncorrected	-0.53	eV per atom